Entry 1:
Entry from Alexandria: a relaxed structure of ZrCrPb3 (PBE-GGA).

Distance to the lowest polymorph of the same formula   0 meV per atom
D(E_F)   1.266 states/eV/atom

Cell lengths 5.203, 5.203, 5.203 Å; angles 90.00, 90.00, 90.00 degrees
Space group Pm-3m (No. 221)
Symmetry-distinct sites (fractional):
Zr (0.000, 0.000, 0.000) [1 per cell]
Cr (0.500, 0.500, 0.500) [1 per cell]
Pb (0.000, 0.500, 0.500) [3 per cell]


Entry 2:
Entry from Alexandria: a relaxed structure of ZrCrPb2 (PBE-GGA).

Distance to the lowest polymorph of the same formula   132 meV per atom
D(E_F)   0.896 states/eV/atom

Cell lengths 4.706, 4.706, 8.322 Å; angles 90.00, 90.00, 90.00 degrees
Space group I4/mmm (No. 139)
Symmetry-distinct sites (fractional):
Zr (0.000, 0.000, 0.000) [2 per cell]
Cr (0.000, 0.000, 0.500) [2 per cell]
Pb (0.000, 0.500, 0.250) [4 per cell]